[1]
LiHo2Zn6: optimized geometry, PBE.

As for the total moment: 0.00 μB per cell. For the calculated total energy, the calculation gives -2.3493 eV/atom. The density of states at the Fermi level is 4.26 states/eV/f.u.

It has space group P6/mmm (No. 191), with a = 7.7745 Å, b = 7.7745 Å, c = 3.2521 Å, α = 90.00°, β = 90.00° and γ = 120.00°. The asymmetric unit holds Li at (0.0000, 0.0000, 0.0000), Ho at (0.3333, 0.6667, 0.0000) and Zn at (0.0000, 0.3250, 0.5000).

[2]
BaYInAg: optimized geometry, PBE.

As for the total moment: 0.00 μB per cell. For the calculated total energy, the calculation gives -3.7111 eV/atom. The density of states at the Fermi level is 4.37 states/eV/f.u.

It has space group F-43m (No. 216), with a = 7.906 Å, b = 7.906 Å, c = 7.906 Å, α = 90.00°, β = 90.00° and γ = 90.00°. The asymmetric unit holds Ba at (0.000, 0.000, 0.000), Y at (0.000, 0.000, 0.500), In at (0.250, 0.250, 0.750) and Ag at (0.250, 0.250, 0.250).